[1]
! LaSc2Zn6, relaxed, DFT PBE; values from VASP
&SYSTEM
  ibrav = 0, nat = 9, ntyp = 3
/
ATOMIC_SPECIES
Sc 44.96 Sc.upf
Zn 65.41 Zn.upf
La 138.91 La.upf
ATOMIC_POSITIONS angstrom
Sc -3.274 -3.142 -3.246
Zn -0.349 -3.679 -3.904
Zn -0.701 -1.655 -2.570
Sc 2.223 -2.192 -3.229
Zn -2.602 -1.604 -0.703
Zn -1.866 -5.830 -3.487
Zn 1.552 -3.730 -5.772
La 0.000 0.000 0.000
Zn -3.613 -5.783 -1.771
CELL_PARAMETERS angstrom
-2.171 1.095 -2.240
5.549 -0.150 -5.452
-4.428 -6.279 1.217
! * volume: 173.3 Å³ per cell
! * DFT formation energy: -2.8 eV/f.u.
! * space group: P6/mmm (191)
! * total DFT energy (no corrections): -28.03 eV/cell



[2]
! AlTcSb, relaxed, DFT PBE; values from VASP
&SYSTEM
  ibrav = 0, nat = 3, ntyp = 3
/
ATOMIC_SPECIES
Al 26.98 Al.upf
Tc 98.00 Tc.upf
Sb 121.76 Sb.upf
ATOMIC_POSITIONS angstrom
Al -1.880 -2.208 1.846
Tc -2.718 -5.484 -2.634
Sb -2.293 -3.821 -0.360
CELL_PARAMETERS angstrom
-3.000 -2.716 -2.880
-0.159 -4.492 -2.112
-1.866 -2.153 1.923
! * volume: 51.2 Å³ per cell
! * ΔE_f (raw): -0.2 eV per formula unit
! * space group: I4mm (107)
! * total DFT energy (no corrections): -18.42 eV/cell



[3]
! Zr2Cu2Ru, relaxed, DFT PBE; values from VASP
&SYSTEM
  ibrav = 0, nat = 10, ntyp = 3
/
ATOMIC_SPECIES
Zr 91.22 Zr.upf
Cu 63.55 Cu.upf
Ru 101.07 Ru.upf
ATOMIC_POSITIONS angstrom
Zr 5.644 2.186 1.741
Cu 4.291 0.833 0.000
Cu 2.625 6.084 0.000
Zr 2.186 1.273 1.741
Ru 3.458 3.458 0.000
Cu 6.084 4.291 0.000
Cu 0.833 2.625 0.000
Zr 4.731 5.644 1.741
Zr 1.273 4.731 1.741
Ru 0.000 0.000 0.000
CELL_PARAMETERS angstrom
6.917 0.000 0.000
0.000 6.917 0.000
0.000 0.000 3.481
! * volume: 166.5 Å³ per cell
! * DFT formation energy: -0.7 eV/f.u.
! * space group: P4/mbm (127)
! * total DFT energy (no corrections): -70.61 eV/cell